#one
Pm6Pr3Cd | PBE-GGA | optimized geometry

Summary:
As for the total magnetization: 0.0 μB/cell.

Cell lengths 10.363, 10.363, 6.526 Å; angles 90.00, 90.00, 101.83 degrees
Element x y z (fractional)
Pm (0.015, 0.410, 0.135)
Pm (0.046, 0.954, 0.500)
Pm (0.251, 0.749, 0.322)
Pm (0.325, 0.430, 0.326)
Pm (0.410, 0.015, 0.635)
Pm (0.430, 0.325, 0.826)
Pm (0.570, 0.675, 0.326)
Pm (0.590, 0.985, 0.135)
Pm (0.675, 0.570, 0.826)
Pm (0.749, 0.251, 0.822)
Pm (0.954, 0.046, 0.000)
Pm (0.985, 0.590, 0.635)
Pr (0.105, 0.288, 0.672)
Pr (0.288, 0.105, 0.172)
Pr (0.355, 0.645, 0.826)
Pr (0.645, 0.355, 0.326)
Pr (0.712, 0.895, 0.672)
Pr (0.895, 0.712, 0.172)
Cd (0.158, 0.842, 0.893)
Cd (0.842, 0.158, 0.393)

#two
Pm6Pr3Cd | PBE-GGA | optimized geometry

Summary:
As for the total magnetization: 0.0 μB/cell.

Cell lengths 11.091, 5.235, 11.610 Å; angles 90.00, 93.43, 90.00 degrees
Element x y z (fractional)
Pm (0.042, 0.250, 0.386)
Pm (0.127, 0.750, 0.177)
Pm (0.155, 0.250, 0.678)
Pm (0.223, 0.250, 0.988)
Pm (0.342, 0.750, 0.794)
Pm (0.450, 0.250, 0.600)
Pm (0.550, 0.750, 0.400)
Pm (0.658, 0.250, 0.206)
Pm (0.777, 0.750, 0.012)
Pm (0.845, 0.750, 0.322)
Pm (0.873, 0.250, 0.823)
Pm (0.958, 0.750, 0.614)
Pr (0.244, 0.750, 0.485)
Pr (0.342, 0.250, 0.288)
Pr (0.447, 0.750, 0.095)
Pr (0.553, 0.250, 0.905)
Pr (0.658, 0.750, 0.712)
Pr (0.756, 0.250, 0.515)
Cd (0.058, 0.750, 0.887)
Cd (0.942, 0.250, 0.113)

Calculated relative energies: #one 8.5; #two 0.0, given in kJ/mol of atoms

#one
Pm7Pr12Cd | PBE-GGA | optimized geometry

Summary:
As for the total magnetization: 0.0 μB/cell.

Cell lengths 8.907, 8.907, 8.907 Å; angles 88.40, 88.40, 88.40 degrees
Element x y z (fractional)
Pm (0.000, 0.000, 0.000)
Pm (0.113, 0.428, 0.354)
Pm (0.354, 0.113, 0.428)
Pm (0.428, 0.354, 0.113)
Pm (0.572, 0.646, 0.887)
Pm (0.646, 0.887, 0.572)
Pm (0.887, 0.572, 0.646)
Pr (0.004, 0.886, 0.360)
Pr (0.114, 0.640, 0.996)
Pr (0.238, 0.369, 0.753)
Pr (0.247, 0.762, 0.631)
Pr (0.360, 0.004, 0.886)
Pr (0.369, 0.753, 0.238)
Pr (0.631, 0.247, 0.762)
Pr (0.640, 0.996, 0.114)
Pr (0.753, 0.238, 0.369)
Pr (0.762, 0.631, 0.247)
Pr (0.886, 0.360, 0.004)
Pr (0.996, 0.114, 0.640)
Cd (0.500, 0.500, 0.500)

#two
Pm7Pr12Cd | PBE-GGA | optimized geometry

Summary:
As for the total magnetization: 0.0 μB/cell.

Cell lengths 10.139, 10.139, 10.139 Å; angles 109.47, 109.47, 109.47 degrees
Element x y z (fractional)
Pm (0.000, 0.000, 0.500)
Pm (0.000, 0.500, 0.000)
Pm (0.000, 0.500, 0.500)
Pm (0.500, 0.000, 0.000)
Pm (0.500, 0.000, 0.500)
Pm (0.500, 0.500, 0.000)
Pm (0.500, 0.500, 0.500)
Pr (0.001, 0.757, 0.244)
Pr (0.243, 0.244, 0.488)
Pr (0.243, 0.756, 0.999)
Pr (0.244, 0.001, 0.757)
Pr (0.244, 0.488, 0.243)
Pr (0.488, 0.243, 0.244)
Pr (0.512, 0.757, 0.756)
Pr (0.756, 0.512, 0.757)
Pr (0.756, 0.999, 0.243)
Pr (0.757, 0.244, 0.001)
Pr (0.757, 0.756, 0.512)
Pr (0.999, 0.243, 0.756)
Cd (0.000, 0.000, 0.000)

Calculated relative energies: #one 0.0; #two 43.1, given in kJ/mol of atoms

#one
PmPr3Cd2 | PBE-GGA | optimized geometry

Summary:
As for the total magnetization: 0.3 μB/cell.

Cell lengths 3.806, 3.806, 13.014 Å; angles 90.00, 90.00, 90.00 degrees
Element x y z (fractional)
Pm (0.000, 0.000, 0.000)
Pr (0.500, 0.500, 0.194)
Pr (0.500, 0.500, 0.500)
Pr (0.500, 0.500, 0.806)
Cd (0.000, 0.000, 0.346)
Cd (0.000, 0.000, 0.654)

#two
PmPr3Cd2 | PBE-GGA | optimized geometry

Summary:
As for the total magnetization: 0.0 μB/cell.

Cell lengths 9.335, 9.335, 13.310 Å; angles 116.98, 116.98, 22.42 degrees
Element x y z (fractional)
Pm (0.086, 0.086, 0.177)
Pm (0.914, 0.914, 0.823)
Pr (0.113, 0.113, 0.535)
Pr (0.246, 0.246, 0.839)
Pr (0.459, 0.459, 0.283)
Pr (0.541, 0.541, 0.717)
Pr (0.754, 0.754, 0.161)
Pr (0.887, 0.887, 0.465)
Cd (0.117, 0.117, 0.954)
Cd (0.308, 0.308, 0.606)
Cd (0.692, 0.692, 0.394)
Cd (0.883, 0.883, 0.046)

Calculated relative energies: #one 0.0; #two 15.0, given in kJ/mol of atoms

#one
PmPrCd2 | PBE-GGA | optimized geometry

Summary:
As for the total magnetization: 0.0 μB/cell.

Cell lengths 3.695, 3.695, 30.873 Å; angles 90.00, 90.00, 120.00 degrees
Element x y z (fractional)
Pm (0.000, 0.000, 0.000)
Pm (0.333, 0.667, 0.667)
Pm (0.667, 0.333, 0.333)
Pr (0.000, 0.000, 0.500)
Pr (0.333, 0.667, 0.167)
Pr (0.667, 0.333, 0.833)
Cd (0.000, 0.000, 0.251)
Cd (0.000, 0.000, 0.749)
Cd (0.333, 0.667, 0.415)
Cd (0.333, 0.667, 0.918)
Cd (0.667, 0.333, 0.082)
Cd (0.667, 0.333, 0.585)

#two
PmPrCd2 | PBE-GGA | optimized geometry

Summary:
As for the total magnetization: 3.4 μB/cell.

Cell lengths 7.717, 7.717, 7.717 Å; angles 90.00, 90.00, 90.00 degrees
Element x y z (fractional)
Pm (0.000, 0.000, 0.000)
Pm (0.000, 0.500, 0.500)
Pm (0.500, 0.000, 0.500)
Pm (0.500, 0.500, 0.000)
Pr (0.000, 0.000, 0.500)
Pr (0.000, 0.500, 0.000)
Pr (0.500, 0.000, 0.000)
Pr (0.500, 0.500, 0.500)
Cd (0.250, 0.250, 0.250)
Cd (0.250, 0.250, 0.750)
Cd (0.250, 0.750, 0.250)
Cd (0.250, 0.750, 0.750)
Cd (0.750, 0.250, 0.250)
Cd (0.750, 0.250, 0.750)
Cd (0.750, 0.750, 0.250)
Cd (0.750, 0.750, 0.750)

Calculated relative energies: #one 18.2; #two 0.0, given in kJ/mol of atoms

#one
Pm2Pr3Cd | PBE-GGA | optimized geometry

Summary:
As for the total magnetization: 0.0 μB/cell.

Cell lengths 4.220, 4.220, 11.122 Å; angles 90.00, 90.00, 90.00 degrees
Element x y z (fractional)
Pm (0.000, 0.000, 0.164)
Pm (0.000, 0.000, 0.836)
Pr (0.500, 0.500, 0.000)
Pr (0.500, 0.500, 0.345)
Pr (0.500, 0.500, 0.655)
Cd (0.000, 0.000, 0.500)

#two
Pm2Pr3Cd | PBE-GGA | optimized geometry

Summary:
As for the total magnetization: 0.0 μB/cell.

Cell lengths 6.287, 6.287, 11.847 Å; angles 95.13, 95.13, 120.17 degrees
Element x y z (fractional)
Pm (0.000, 0.000, 0.000)
Pm (0.163, 0.837, 0.500)
Pm (0.500, 0.500, 0.500)
Pm (0.837, 0.163, 0.500)
Pr (0.080, 0.420, 0.243)
Pr (0.260, 0.260, 0.758)
Pr (0.420, 0.080, 0.243)
Pr (0.580, 0.920, 0.757)
Pr (0.740, 0.740, 0.242)
Pr (0.920, 0.580, 0.757)
Cd (0.332, 0.668, 0.000)
Cd (0.668, 0.332, 0.000)

Calculated relative energies: #one 2.2; #two 0.0, given in kJ/mol of atoms

#one
PmPr3Cd | PBE-GGA | optimized geometry

Summary:
As for the total magnetization: 0.0 μB/cell.

Cell lengths 3.813, 8.893, 10.231 Å; angles 103.00, 100.74, 90.01 degrees
Element x y z (fractional)
Pm (0.096, 0.038, 0.190)
Pm (0.904, 0.962, 0.810)
Pr (0.297, 0.170, 0.596)
Pr (0.313, 0.625, 0.626)
Pr (0.497, 0.718, 0.993)
Pr (0.503, 0.282, 0.007)
Pr (0.687, 0.375, 0.374)
Pr (0.703, 0.830, 0.404)
Cd (0.101, 0.571, 0.202)
Cd (0.899, 0.429, 0.798)

#two
PmPr3Cd | PBE-GGA | optimized geometry

Summary:
As for the total magnetization: 0.0 μB/cell.

Cell lengths 10.222, 10.222, 6.512 Å; angles 100.23, 100.23, 83.89 degrees
Element x y z (fractional)
Pm (0.106, 0.704, 0.995)
Pm (0.296, 0.894, 0.505)
Pm (0.704, 0.106, 0.495)
Pm (0.894, 0.296, 0.005)
Pr (0.037, 0.164, 0.491)
Pr (0.128, 0.506, 0.382)
Pr (0.164, 0.037, 0.991)
Pr (0.237, 0.366, 0.874)
Pr (0.366, 0.237, 0.374)
Pr (0.494, 0.872, 0.118)
Pr (0.506, 0.128, 0.882)
Pr (0.634, 0.763, 0.626)
Pr (0.763, 0.634, 0.126)
Pr (0.836, 0.963, 0.009)
Pr (0.872, 0.494, 0.618)
Pr (0.963, 0.836, 0.509)
Cd (0.376, 0.624, 0.750)
Cd (0.408, 0.592, 0.250)
Cd (0.592, 0.408, 0.750)
Cd (0.624, 0.376, 0.250)

Calculated relative energies: #one 0.0; #two 6.7, given in kJ/mol of atoms

#one
PmPrCd4 | PBE-GGA | optimized geometry

Summary:
As for the total magnetization: 0.0 μB/cell.

Cell lengths 3.509, 8.779, 5.075 Å; angles 90.00, 90.15, 90.00 degrees
Element x y z (fractional)
Pm (0.000, 0.000, 0.000)
Pr (0.000, 0.500, 0.500)
Cd (0.500, 0.165, 0.500)
Cd (0.500, 0.331, 0.000)
Cd (0.500, 0.669, 0.000)
Cd (0.500, 0.835, 0.500)

#two
PmPrCd4 | PBE-GGA | optimized geometry

Summary:
As for the total magnetization: 0.0 μB/cell.

Cell lengths 6.006, 6.006, 6.006 Å; angles 60.00, 60.00, 60.00 degrees
Element x y z (fractional)
Pm (0.000, 0.000, 0.000)
Pr (0.750, 0.750, 0.750)
Cd (0.375, 0.375, 0.375)
Cd (0.375, 0.375, 0.875)
Cd (0.375, 0.875, 0.375)
Cd (0.875, 0.375, 0.375)

Calculated relative energies: #one 0.0; #two 4.0, given in kJ/mol of atoms

#one
PmPrCd | PBE-GGA | optimized geometry

Summary:
As for the total magnetization: 0.0 μB/cell.

Cell lengths 5.244, 5.244, 7.672 Å; angles 90.00, 90.00, 90.00 degrees
Element x y z (fractional)
Pm (0.000, 0.000, 0.000)
Pm (0.500, 0.500, 0.500)
Pr (0.000, 0.000, 0.500)
Pr (0.500, 0.500, 0.000)
Cd (0.000, 0.500, 0.750)
Cd (0.500, 0.000, 0.250)

#two
PmPrCd | PBE-GGA | optimized geometry

Summary:
As for the total magnetization: 0.1 μB/cell.

Cell lengths 3.764, 3.764, 13.165 Å; angles 90.00, 90.00, 90.00 degrees
Element x y z (fractional)
Pm (0.000, 0.000, 0.000)
Pm (0.500, 0.500, 0.500)
Pr (0.000, 0.000, 0.691)
Pr (0.500, 0.500, 0.191)
Cd (0.000, 0.000, 0.350)
Cd (0.500, 0.500, 0.850)

#three
PmPrCd | PBE-GGA | optimized geometry

Summary:
As for the total magnetization: 2.4 μB/cell.

Cell lengths 7.675, 7.692, 7.138 Å; angles 90.00, 90.00, 90.00 degrees
Element x y z (fractional)
Pm (0.250, 0.250, 0.000)
Pm (0.250, 0.750, 0.500)
Pm (0.750, 0.250, 0.500)
Pm (0.750, 0.750, 0.000)
Pr (0.250, 0.250, 0.500)
Pr (0.250, 0.750, 0.000)
Pr (0.750, 0.250, 0.000)
Pr (0.750, 0.750, 0.500)
Cd (0.000, 0.000, 0.250)
Cd (0.000, 0.000, 0.750)
Cd (0.500, 0.500, 0.250)
Cd (0.500, 0.500, 0.750)

#four
PmPrCd | PBE-GGA | optimized geometry

Summary:
As for the total magnetization: 0.0 μB/cell.

Cell lengths 5.365, 5.365, 3.666 Å; angles 90.00, 90.00, 120.00 degrees
Element x y z (fractional)
Pm (0.000, 0.000, 0.000)
Pr (0.333, 0.667, 0.583)
Cd (0.667, 0.333, 0.277)

Calculated relative energies: #one 27.3; #two 0.0; #three 26.2; #four 10.6, given in kJ/mol of atoms

#one
PmPr6Cd | PBE-GGA | optimized geometry

Summary:
As for the total magnetization: 0.0 μB/cell.

Cell lengths 5.100, 5.100, 10.376 Å; angles 90.00, 90.00, 90.00 degrees
Element x y z (fractional)
Pm (0.000, 0.000, 0.000)
Pr (0.000, 0.500, 0.256)
Pr (0.000, 0.500, 0.744)
Pr (0.500, 0.000, 0.256)
Pr (0.500, 0.000, 0.744)
Pr (0.500, 0.500, 0.000)
Pr (0.500, 0.500, 0.500)
Cd (0.000, 0.000, 0.500)

#two
PmPr6Cd | PBE-GGA | optimized geometry

Summary:
As for the total magnetization: 0.0 μB/cell.

Cell lengths 6.548, 6.548, 6.548 Å; angles 95.81, 95.81, 95.81 degrees
Element x y z (fractional)
Pm (0.000, 0.000, 0.000)
Pr (0.047, 0.549, 0.262)
Pr (0.262, 0.047, 0.549)
Pr (0.451, 0.738, 0.953)
Pr (0.549, 0.262, 0.047)
Pr (0.738, 0.953, 0.451)
Pr (0.953, 0.451, 0.738)
Cd (0.500, 0.500, 0.500)

Calculated relative energies: #one 0.0; #two 6.3, given in kJ/mol of atoms

#one
PmPrCd3 | PBE-GGA | optimized geometry

Summary:
As for the total magnetization: 0.0 μB/cell.

Cell lengths 15.263, 15.263, 5.069 Å; angles 90.00, 90.00, 166.74 degrees
Element x y z (fractional)
Pm (0.214, 0.786, 0.750)
Pm (0.786, 0.214, 0.250)
Pr (0.074, 0.926, 0.250)
Pr (0.926, 0.074, 0.750)
Cd (0.326, 0.674, 0.750)
Cd (0.379, 0.621, 0.250)
Cd (0.476, 0.524, 0.250)
Cd (0.524, 0.476, 0.750)
Cd (0.621, 0.379, 0.750)
Cd (0.674, 0.326, 0.250)

#two
PmPrCd3 | PBE-GGA | optimized geometry

Summary:
As for the total magnetization: 0.7 μB/cell.

Cell lengths 8.946, 8.946, 8.946 Å; angles 40.96, 40.96, 40.96 degrees
Element x y z (fractional)
Pm (0.073, 0.073, 0.073)
Pm (0.927, 0.927, 0.927)
Pr (0.334, 0.334, 0.334)
Pr (0.666, 0.666, 0.666)
Cd (0.110, 0.624, 0.624)
Cd (0.376, 0.376, 0.890)
Cd (0.376, 0.890, 0.376)
Cd (0.624, 0.110, 0.624)
Cd (0.624, 0.624, 0.110)
Cd (0.890, 0.376, 0.376)

Calculated relative energies: #one 0.0; #two 10.2, given in kJ/mol of atoms